[1]
In3FeGe: relaxed, PBE.

Output
Crystal system = cubic
SG = No. 221
E above lowest polymorph = 0 meV/atom
Size of the total moment = 1.93 μB per formula unit
Energy relative to the elements = 0.42 eV per atom
Theoretical density = 6.33 g/cm³

abc: 4.988 4.988 4.988
angles: 90.00 90.00 90.00
Fractional positions:
In1 0.000 0.000 0.500
In2 0.000 0.500 0.000
In3 0.500 0.000 0.000
Fe1 0.000 0.000 0.000
Ge1 0.500 0.500 0.500

[2]
InFe2Ge2: relaxed, PBE.

Output
Crystal system = tetragonal
SG = No. 127
Size of the total moment = 0.00 μB per formula unit
Energy relative to the elements = 0.17 eV per atom
Theoretical density = 8.52 g/cm³

abc: 7.009 7.009 2.951
angles: 90.00 90.00 90.00
Fractional positions:
In1 0.000 0.000 0.000
In2 0.500 0.500 0.000
Fe1 0.145 0.355 0.000
Fe2 0.355 0.855 0.000
Fe3 0.645 0.145 0.000
Fe4 0.855 0.645 0.000
Ge1 0.147 0.647 0.500
Ge2 0.353 0.147 0.500
Ge3 0.647 0.853 0.500
Ge4 0.853 0.353 0.500